(A)
Re3TeO | PBE-GGA | relaxed

The structure in POSCAR format:
```
Re3TeO
1.0
4.874 0.000 0.000
0.000 4.874 0.000
0.000 0.000 4.874
Re Te O
3 1 1
Cartesian
0.000 0.000 2.437
0.000 2.437 0.000
2.437 0.000 0.000
0.000 0.000 0.000
2.437 2.437 2.437
```

Properties
Space-group type: No. 221

---

(B)
Re3TeO | PBE-GGA | relaxed

The structure in POSCAR format:
```
Re3TeO
1.0
4.214 0.000 0.000
0.000 4.214 0.000
0.000 0.000 4.214
Re Te O
3 1 1
Cartesian
0.000 0.000 2.107
0.000 2.107 0.000
2.107 0.000 0.000
2.107 2.107 2.107
0.000 0.000 0.000
```

Properties
Space-group type: No. 221

---

On energetic grounds, (B) is preferred over the next structure by 2305 meV/atom.

---

(A)
Re2TeO | PBE-GGA | relaxed

The structure in POSCAR format:
```
Re2TeO
1.0
0.000 3.089 3.089
3.089 0.000 3.089
3.089 3.089 0.000
Re Te O
2 1 1
Cartesian
1.545 1.545 1.545
4.634 4.634 4.634
0.000 0.000 0.000
3.089 3.089 3.089
```

Properties
Space-group type: No. 225

---

(B)
Re2TeO | PBE-GGA | relaxed

The structure in POSCAR format:
```
Re2TeO
1.0
-2.235 2.235 6.998
2.235 -2.235 6.998
2.235 2.235 -6.998
Re Te O
4 2 2
Cartesian
3.352 0.585 -1.749
0.585 1.117 1.749
-1.117 1.649 5.248
1.649 1.117 8.747
2.235 0.000 3.499
0.000 0.000 6.998
0.000 0.000 0.000
0.000 2.235 3.499
```

Properties
Space-group type: No. 122

---

On energetic grounds, (B) is preferred over the next structure by 601 meV/atom.

---

(A)
TiRe3O | PBE-GGA | relaxed

The structure in POSCAR format:
```
TiRe3O
1.0
4.101 0.000 0.000
0.000 4.101 0.000
0.000 0.000 4.101
Ti Re O
1 3 1
Cartesian
0.000 0.000 0.000
0.000 2.050 2.050
2.050 0.000 2.050
2.050 2.050 0.000
2.050 2.050 2.050
```

Properties
Space-group type: No. 221

---

(B)
TiRe3O | PBE-GGA | relaxed

The structure in POSCAR format:
```
TiRe3O
1.0
4.547 0.000 0.000
0.000 4.547 0.000
0.000 0.000 4.547
Ti Re O
1 3 1
Cartesian
0.000 0.000 0.000
0.000 0.000 2.273
0.000 2.273 0.000
2.273 0.000 0.000
2.273 2.273 2.273
```

Properties
Space-group type: No. 221

---

On energetic grounds, (A) is preferred over the next structure by 2553 meV/atom.

---

(A)
TiReO2 | PBE-GGA | relaxed

The structure in POSCAR format:
```
TiReO2
1.0
0.000 2.747 2.747
2.747 0.000 2.747
2.747 2.747 0.000
Ti Re O
1 1 2
Cartesian
0.000 0.000 0.000
2.747 2.747 2.747
1.373 1.373 1.373
4.120 4.120 4.120
```

Properties
Space-group type: No. 225

---

(B)
TiReO2 | PBE-GGA | relaxed

The structure in POSCAR format:
```
TiReO2
1.0
-2.332 2.332 4.619
2.332 -2.332 4.619
2.332 2.332 -4.619
Ti Re O
2 2 4
Cartesian
0.000 0.000 0.000
0.000 2.332 2.310
2.332 0.000 2.310
0.000 0.000 4.619
3.498 0.963 -1.155
0.963 1.166 1.155
-1.166 1.369 3.464
1.369 1.166 5.774
```

Properties
Space-group type: No. 122

---

On energetic grounds, (B) is preferred over the next structure by 576 meV/atom.

---

(A)
Tl2ReO | PBE-GGA | relaxed

The structure in POSCAR format:
```
Tl2ReO
1.0
-3.409 3.409 3.399
3.409 -3.409 3.399
3.409 3.409 -3.399
Tl Re O
4 2 2
Cartesian
5.113 1.346 -0.850
1.346 1.704 0.850
-1.704 2.063 2.550
2.063 1.704 4.249
3.409 0.000 1.700
0.000 0.000 3.399
0.000 0.000 0.000
0.000 3.409 1.700
```

Properties
Space-group type: No. 122

---

(B)
Tl2ReO | PBE-GGA | relaxed

The structure in POSCAR format:
```
Tl2ReO
1.0
0.000 3.363 3.363
3.363 0.000 3.363
3.363 3.363 0.000
Tl Re O
2 1 1
Cartesian
1.682 1.682 1.682
5.045 5.045 5.045
0.000 0.000 0.000
3.363 3.363 3.363
```

Properties
Space-group type: No. 225

---

On energetic grounds, (A) is preferred over the next structure by 294 meV/atom.

---

(A)
TlRe2O | PBE-GGA | relaxed

The structure in POSCAR format:
```
TlRe2O
1.0
0.000 3.125 3.125
3.125 0.000 3.125
3.125 3.125 0.000
Tl Re O
1 2 1
Cartesian
0.000 0.000 0.000
1.563 1.563 1.563
4.688 4.688 4.688
3.125 3.125 3.125
```

Properties
Space-group type: No. 225

---

(B)
TlRe2O | PBE-GGA | relaxed

The structure in POSCAR format:
```
TlRe2O
1.0
-2.382 2.382 6.705
2.382 -2.382 6.705
2.382 2.382 -6.705
Tl Re O
2 4 2
Cartesian
0.000 0.000 0.000
0.000 2.382 3.353
1.191 -0.267 5.029
2.115 1.191 1.676
1.191 2.650 -1.676
0.267 1.191 8.381
2.382 0.000 3.353
0.000 0.000 6.705
```

Properties
Space-group type: No. 122

---

On energetic grounds, (B) is preferred over the next structure by 756 meV/atom.